(1)
This record from Alexandria via LeMat-Bulk describes a PBEsol-optimized structure of MgCrN2. The functional is SCAN.

Properties
**E_form (uncorrected)**: -0.901 eV per atom
**Calculated total energy**: -11.39 eV/atom
**Mass density**: 3.75 Mg/m³

Geometry as CIF:
```
data_MgCrN2
_chemical_formula_sum 'Mg4 Cr4 N8'
_space_group_name_H-M_alt 'P n a 21'
_space_group_IT_number 33
_cell_length_a 5.5926
_cell_length_b 6.5035
_cell_length_c 5.0785
_cell_angle_alpha 90.00
_cell_angle_beta 90.00
_cell_angle_gamma 90.00
loop_
_space_group_symop_operation_xyz
'x,y,z'
'-x,-y,z+1/2'
'-x+1/2,y+1/2,z+1/2'
'x+1/2,-y+1/2,z'
loop_
_atom_site_label
_atom_site_fract_x
_atom_site_fract_y
_atom_site_fract_z
_atom_site_occupancy
Mg1 0.0916 0.1224 0.0000 1
Cr1 0.0743 0.6287 0.0098 1
N1 0.0581 0.6037 0.3682 1
N2 0.1057 0.1443 0.4170 1
```


(2)
This record from Alexandria via LeMat-Bulk describes a PBEsol-optimized structure of MgCr3N. The functional is SCAN.

Properties
**E_form (uncorrected)**: -0.016 eV per atom
**Calculated total energy**: -13.90 eV/atom
**Mass density**: 5.74 Mg/m³

Geometry as CIF:
```
data_MgCr3N
_chemical_formula_sum 'Mg1 Cr3 N1'
_space_group_name_H-M_alt 'P m -3 m'
_space_group_IT_number 221
_space_group_name_Hall '-P 4 2 3'
_cell_length_a 3.8304
_cell_length_b 3.8304
_cell_length_c 3.8304
_cell_angle_alpha 90.00
_cell_angle_beta 90.00
_cell_angle_gamma 90.00
loop_
_atom_site_label
_atom_site_fract_x
_atom_site_fract_y
_atom_site_fract_z
_atom_site_occupancy
Mg1 0.0000 0.0000 0.0000 1
Cr1 0.0000 0.5000 0.5000 1
N1 0.5000 0.5000 0.5000 1
```


(3)
This record from Alexandria via LeMat-Bulk describes a PBEsol-optimized structure of MgCrSe2N. The functional is SCAN.

Properties
**E_form (uncorrected)**: -0.333 eV per atom
**Calculated total energy**: -14.89 eV/atom
**Mass density**: 4.83 Mg/m³

Geometry as CIF:
```
data_MgCrSe2N
_chemical_formula_sum 'Mg1 Cr1 Se2 N1'
_space_group_name_H-M_alt 'P 4/m m m'
_space_group_IT_number 123
_space_group_name_Hall '-P 4 2'
_cell_length_a 4.9428
_cell_length_b 4.9428
_cell_length_c 3.4964
_cell_angle_alpha 90.00
_cell_angle_beta 90.00
_cell_angle_gamma 90.00
loop_
_atom_site_label
_atom_site_fract_x
_atom_site_fract_y
_atom_site_fract_z
_atom_site_occupancy
Mg1 0.0000 0.0000 0.0000 1
Cr1 0.5000 0.5000 0.5000 1
Se1 0.0000 0.5000 0.5000 1
N1 0.5000 0.5000 0.0000 1
```


(4)
This record from Alexandria via LeMat-Bulk describes a PBEsol-optimized structure of NaMg30CrO32. The functional is SCAN.

Properties
**E_form (uncorrected)**: -2.960 eV per atom
**Calculated total energy**: -8.76 eV/atom
**Mass density**: 3.62 Mg/m³

Geometry as CIF:
```
data_NaMg30CrO32
_chemical_formula_sum 'Na1 Mg30 Cr1 O32'
_space_group_name_H-M_alt 'P 4/m m m'
_space_group_IT_number 123
_space_group_name_Hall '-P 4 2'
_cell_length_a 8.4487
_cell_length_b 8.4487
_cell_length_c 8.4483
_cell_angle_alpha 90.00
_cell_angle_beta 90.00
_cell_angle_gamma 90.00
loop_
_atom_site_label
_atom_site_fract_x
_atom_site_fract_y
_atom_site_fract_z
_atom_site_occupancy
Na1 0.0000 0.0000 0.0000 1
Mg1 0.0000 0.0000 0.5000 1
Mg2 0.0000 0.2478 0.2489 1
Mg3 0.0000 0.5000 0.0000 1
Mg4 0.0000 0.5000 0.5000 1
Mg5 0.2467 0.2467 0.0000 1
Mg6 0.2481 0.5000 0.2508 1
Mg7 0.2489 0.2489 0.5000 1
Mg8 0.5000 0.5000 0.5000 1
Cr1 0.5000 0.5000 0.0000 1
O1 0.0000 0.0000 0.2624 1
O2 0.0000 0.2531 0.5000 1
O3 0.0000 0.2644 0.0000 1
O4 0.0000 0.5000 0.2505 1
O5 0.2510 0.2510 0.2495 1
O6 0.2529 0.5000 0.5000 1
O7 0.2613 0.5000 0.0000 1
O8 0.5000 0.5000 0.2414 1
```


(5)
This record from Alexandria via LeMat-Bulk describes a PBEsol-optimized structure of MgCrNi. The functional is SCAN.

Properties
**Calculated total energy**: -12.59 eV/atom
**Mass density**: 5.14 Mg/m³
**E_form**: 57 kJ per mole of atoms

Geometry as CIF:
```
data_MgCrNi
_chemical_formula_sum 'Mg4 Cr4 Ni4'
_space_group_name_H-M_alt 'F -4 3 m'
_space_group_IT_number 216
_space_group_name_Hall 'F -4 2 3'
_cell_length_a 5.5892
_cell_length_b 5.5892
_cell_length_c 5.5892
_cell_angle_alpha 90.00
_cell_angle_beta 90.00
_cell_angle_gamma 90.00
loop_
_atom_site_label
_atom_site_fract_x
_atom_site_fract_y
_atom_site_fract_z
_atom_site_occupancy
Mg1 0.0000 0.0000 0.0000 1
Cr1 0.0000 0.0000 0.5000 1
Ni1 0.2500 0.2500 0.2500 1
```


(6)
This record from Alexandria via LeMat-Bulk describes a PBEsol-optimized structure of Mg2Cr2Ni. The functional is SCAN.

Properties
**Calculated total energy**: -12.05 eV/atom
**Mass density**: 4.63 Mg/m³
**E_form**: 51 kJ per mole of atoms

Geometry as CIF:
```
data_Mg2Cr2Ni
_chemical_formula_sum 'Mg4 Cr4 Ni2'
_space_group_name_H-M_alt 'I 4/m m m'
_space_group_IT_number 139
_space_group_name_Hall '-I 4 2'
_cell_length_a 3.1027
_cell_length_b 3.1027
_cell_length_c 15.7273
_cell_angle_alpha 90.00
_cell_angle_beta 90.00
_cell_angle_gamma 90.00
loop_
_atom_site_label
_atom_site_fract_x
_atom_site_fract_y
_atom_site_fract_z
_atom_site_occupancy
Mg1 0.0000 0.0000 0.0948 1
Cr1 0.0000 0.5000 0.2500 1
Ni1 0.0000 0.0000 0.5000 1
```


(7)
This record from Alexandria via LeMat-Bulk describes a PBEsol-optimized structure of MgCr2O7. The functional is SCAN.

Properties
**E_form (uncorrected)**: -2.024 eV per atom
**Calculated total energy**: -10.56 eV/atom
**Mass density**: 2.79 Mg/m³

Geometry as CIF:
```
data_MgCr2O7
_chemical_formula_sum 'Mg2 Cr4 O14'
_space_group_name_H-M_alt 'P 1 21 1'
_space_group_IT_number 4
_cell_length_a 6.5253
_cell_length_b 6.7563
_cell_length_c 6.6956
_cell_angle_alpha 90.00
_cell_angle_beta 103.93
_cell_angle_gamma 90.00
loop_
_space_group_symop_operation_xyz
'x,y,z'
'-x,y+1/2,-z'
loop_
_atom_site_label
_atom_site_fract_x
_atom_site_fract_y
_atom_site_fract_z
_atom_site_occupancy
Mg1 0.1382 0.0000 0.0263 1
Cr1 0.2395 0.9203 0.5613 1
Cr2 0.3495 0.4996 0.0848 1
O1 0.1054 0.0055 0.7188 1
O2 0.1545 0.0077 0.3288 1
O3 0.1921 0.3080 0.0365 1
O4 0.1955 0.6934 0.0438 1
O5 0.2360 0.6868 0.5625 1
O6 0.4822 0.0006 0.0557 1
O7 0.4951 0.4982 0.3353 1
```


(8)
This record from Alexandria via LeMat-Bulk describes a PBEsol-optimized structure of Mg3CrO. The functional is SCAN.

Properties
**E_form (uncorrected)**: -0.817 eV per atom
**Calculated total energy**: -8.72 eV/atom
**Mass density**: 2.99 Mg/m³

Geometry as CIF:
```
data_Mg3CrO
_chemical_formula_sum 'Mg3 Cr1 O1'
_space_group_name_H-M_alt 'P m -3 m'
_space_group_IT_number 221
_space_group_name_Hall '-P 4 2 3'
_cell_length_a 4.2769
_cell_length_b 4.2769
_cell_length_c 4.2769
_cell_angle_alpha 90.00
_cell_angle_beta 90.00
_cell_angle_gamma 90.00
loop_
_atom_site_label
_atom_site_fract_x
_atom_site_fract_y
_atom_site_fract_z
_atom_site_occupancy
Mg1 0.0000 0.0000 0.5000 1
Cr1 0.5000 0.5000 0.5000 1
O1 0.0000 0.0000 0.0000 1
```